The following is a DFT calculation (PBE) of crystalline CsNaCr2I8 at its relaxed geometry.

Unit cell a=11.6491 b=11.6491 c=11.6491 alpha=38.06 beta=38.06 gamma=38.06
Positions (direct):
Cs: 0.0000 0.0000 0.0000
Na: 0.5000 0.5000 0.5000
Cr: 0.2491 0.2491 0.2491
Cr: 0.7509 0.7509 0.7509
I: 0.0948 0.4364 0.7837
I: 0.2163 0.9052 0.5636
I: 0.3283 0.3283 0.3283
I: 0.4364 0.7837 0.0948
I: 0.5636 0.2163 0.9052
I: 0.6717 0.6717 0.6717
I: 0.7837 0.0948 0.4364
I: 0.9052 0.5636 0.2163

Properties
- Formation energy from raw total energies: -57 kJ/mol of atoms
- Electronic total energy: -3.414 eV/atom
- DOS at the Fermi energy: 0.952 states/eV/atom
- Symmetry: No. 148
- Total moment: 0.500 μB/atom